Ba3Bi2P4O16 | GGA-PBEsol | optimized geometry

Cell and atoms, written as extended XYZ:
```
50
Lattice="10.130 -4.416 0.000 10.130 4.416 0.000 -3.009 0.000 8.146" Properties=species:S:1:pos:R:3 pbc="T T T"
Ba 7.873 3.912 6.110
Ba 2.057 0.540 6.283
Ba 3.562 -0.540 2.210
Ba 13.689 0.540 5.936
Ba 15.194 -0.540 1.863
Ba 9.378 -3.912 2.037
Bi 7.574 0.552 2.615
Bi 6.070 -0.552 6.688
Bi 11.182 0.552 1.458
Bi 9.677 -0.552 5.531
P 7.861 2.520 0.150
P 5.555 1.718 4.483
P 10.895 2.520 3.923
P 10.191 1.718 7.736
P 7.060 -1.718 0.410
P 6.356 -2.520 4.223
P 11.696 -1.718 3.663
P 9.390 -2.520 7.997
O 5.789 3.613 7.785
O 2.090 1.280 3.550
O 3.497 2.539 7.585
O 7.623 2.727 1.707
O 9.958 3.613 4.434
O 5.484 1.262 2.967
O 4.744 0.686 5.325
O 7.069 1.584 4.829
O 11.133 2.727 2.367
O 8.556 1.098 0.132
O 0.586 -1.280 7.623
O 8.677 1.584 7.390
O 12.249 2.539 4.634
O 6.248 -0.686 1.252
O 10.200 1.098 3.941
O 3.979 -1.262 7.041
O 13.272 1.262 1.106
O 7.052 -1.098 4.205
O 11.003 0.686 6.894
O 5.002 -2.539 3.512
O 8.574 -1.584 0.756
O 16.666 1.280 0.524
O 8.695 -1.098 8.014
O 6.118 -2.727 5.780
O 10.182 -1.584 3.317
O 12.507 -0.686 2.821
O 11.767 -1.262 5.179
O 7.293 -3.613 3.712
O 9.629 -2.727 6.440
O 13.754 -2.539 0.561
O 15.161 -1.280 4.597
O 11.463 -3.613 0.361
```

## Properties
* crystal system: monoclinic
* formation energy without anion corrections: -2.467 eV per atom
* size of the total moment: 0.008 μB per formula unit
* total energy: -7.3537 eV/atom